Material: Pm4Dy3Pu
Method: DFT, PBE
State: relaxed

The structure in CIF format:
```
data_Pm4Dy3Pu
_chemical_formula_sum 'Pm4 Dy3 Pu1'
_cell_length_a 3.468
_cell_length_b 11.640
_cell_length_c 8.867
_cell_angle_alpha 131.02
_cell_angle_beta 101.28
_cell_angle_gamma 90.00
_space_group_name_H-M_alt 'P 1'
_space_group_IT_number 1
loop_
_space_group_symop_operation_xyz
'x,y,z'
loop_
_atom_site_label
_atom_site_fract_x
_atom_site_fract_y
_atom_site_fract_z
Pm1 0.369 0.621 0.738
Pm2 0.631 0.883 0.262
Pm3 0.369 0.117 0.738
Pm4 0.631 0.379 0.262
Dy1 0.000 0.500 0.000
Dy2 0.766 0.766 0.531
Dy3 0.234 0.234 0.469
Pu1 0.500 0.000 0.000
```

Output
- Calculated formation energy: 152 meV per atom


Material: Tb5Bi4As
Method: DFT, PBE
State: relaxed

The structure in CIF format:
```
data_Tb5Bi4As
_chemical_formula_sum 'Tb5 Bi4 As1'
_cell_length_a 4.431
_cell_length_b 4.431
_cell_length_c 15.940
_cell_angle_alpha 97.99
_cell_angle_beta 97.99
_cell_angle_gamma 90.00
_space_group_name_H-M_alt 'P 1'
_space_group_IT_number 1
loop_
_space_group_symop_operation_xyz
'x,y,z'
loop_
_atom_site_label
_atom_site_fract_x
_atom_site_fract_y
_atom_site_fract_z
Tb1 0.299 0.299 0.598
Tb2 0.500 0.500 0.000
Tb3 0.093 0.093 0.186
Tb4 0.907 0.907 0.814
Tb5 0.701 0.701 0.402
Bi1 0.803 0.803 0.606
Bi2 0.600 0.600 0.199
Bi3 0.197 0.197 0.394
Bi4 0.400 0.400 0.801
As1 0.000 0.000 0.000
```

Output
- Calculated formation energy: -980 meV per atom


Material: HfMgMn
Method: DFT, PBE
State: relaxed

The structure in CIF format:
```
data_HfMgMn
_chemical_formula_sum 'Hf2 Mg2 Mn2'
_cell_length_a 4.962
_cell_length_b 4.962
_cell_length_c 5.240
_cell_angle_alpha 90.00
_cell_angle_beta 90.00
_cell_angle_gamma 90.00
_space_group_name_H-M_alt 'P 1'
_space_group_IT_number 1
loop_
_space_group_symop_operation_xyz
'x,y,z'
loop_
_atom_site_label
_atom_site_fract_x
_atom_site_fract_y
_atom_site_fract_z
Mg1 0.000 0.000 0.500
Mg2 0.500 0.500 0.500
Hf1 0.000 0.500 0.000
Hf2 0.500 0.000 0.000
Mn1 0.500 0.500 0.000
Mn2 0.000 0.000 0.000
```

Output
- Calculated formation energy: 531 meV per atom


Material: MgZr4Os
Method: DFT, PBE
State: relaxed

The structure in CIF format:
```
data_MgZr4Os
_chemical_formula_sum 'Mg1 Zr4 Os1'
_cell_length_a 5.636
_cell_length_b 5.636
_cell_length_c 5.636
_cell_angle_alpha 60.00
_cell_angle_beta 60.00
_cell_angle_gamma 60.00
_space_group_name_H-M_alt 'P 1'
_space_group_IT_number 1
loop_
_space_group_symop_operation_xyz
'x,y,z'
loop_
_atom_site_label
_atom_site_fract_x
_atom_site_fract_y
_atom_site_fract_z
Zr1 0.373 0.373 0.881
Zr2 0.373 0.373 0.373
Zr3 0.373 0.881 0.373
Zr4 0.881 0.373 0.373
Mg1 0.750 0.750 0.750
Os1 0.000 0.000 0.000
```

Output
- Calculated formation energy: 501 meV per atom


Material: Tl3RhC
Method: DFT, PBE
State: relaxed

The structure in CIF format:
```
data_Tl3RhC
_chemical_formula_sum 'Tl3 Rh1 C1'
_cell_length_a 5.289
_cell_length_b 5.289
_cell_length_c 5.289
_cell_angle_alpha 90.00
_cell_angle_beta 90.00
_cell_angle_gamma 90.00
_space_group_name_H-M_alt 'P 1'
_space_group_IT_number 1
loop_
_space_group_symop_operation_xyz
'x,y,z'
loop_
_atom_site_label
_atom_site_fract_x
_atom_site_fract_y
_atom_site_fract_z
Tl1 0.000 0.500 0.000
Tl2 0.000 0.000 0.500
Tl3 0.500 0.000 0.000
C1 0.500 0.500 0.500
Rh1 0.000 0.000 0.000
```

Output
- Energy above the lowest structure with this stoichiometry: 0 meV/atom
- Calculated formation energy: 1219 meV per atom


Material: DyRhIO6
Method: DFT, PBE
State: relaxed

The structure in CIF format:
```
data_DyRhIO6
_chemical_formula_sum 'Dy2 Rh2 I2 O12'
_cell_length_a 5.525
_cell_length_b 5.525
_cell_length_c 8.693
_cell_angle_alpha 90.00
_cell_angle_beta 90.00
_cell_angle_gamma 120.00
_space_group_name_H-M_alt 'P 1'
_space_group_IT_number 1
loop_
_space_group_symop_operation_xyz
'x,y,z'
loop_
_atom_site_label
_atom_site_fract_x
_atom_site_fract_y
_atom_site_fract_z
O1 0.023 0.334 0.622
O2 0.689 0.023 0.378
O3 0.334 0.311 0.378
O4 0.689 0.666 0.122
O5 0.023 0.689 0.878
O6 0.977 0.311 0.122
O7 0.666 0.689 0.622
O8 0.311 0.334 0.878
O9 0.311 0.977 0.622
O10 0.334 0.023 0.122
O11 0.977 0.666 0.378
O12 0.666 0.977 0.878
Dy1 0.667 0.333 0.750
Dy2 0.333 0.667 0.250
Rh1 0.000 0.000 0.000
Rh2 0.000 0.000 0.500
I1 0.667 0.333 0.250
I2 0.333 0.667 0.750
```

Output
- Raw formation energy: -1080.5 meV/atom


Material: CaGdYMg
Method: DFT, PBE
State: relaxed

The structure in CIF format:
```
data_CaGdYMg
_chemical_formula_sum 'Ca1 Gd1 Y1 Mg1'
_cell_length_a 5.604
_cell_length_b 5.604
_cell_length_c 5.604
_cell_angle_alpha 60.00
_cell_angle_beta 60.00
_cell_angle_gamma 60.00
_space_group_name_H-M_alt 'P 1'
_space_group_IT_number 1
loop_
_space_group_symop_operation_xyz
'x,y,z'
loop_
_atom_site_label
_atom_site_fract_x
_atom_site_fract_y
_atom_site_fract_z
Ca1 0.500 0.500 0.500
Mg1 0.000 0.000 0.000
Y1 0.750 0.750 0.750
Gd1 0.250 0.250 0.250
```

Output
- Calculated formation energy: 63 meV per atom


Material: La3AlP2Pt9
Method: DFT, PBE
State: relaxed

The structure in CIF format:
```
data_La3AlP2Pt9
_chemical_formula_sum 'La3 Al1 P2 Pt9'
_cell_length_a 6.395
_cell_length_b 6.395
_cell_length_c 8.791
_cell_angle_alpha 90.00
_cell_angle_beta 90.00
_cell_angle_gamma 120.00
_space_group_name_H-M_alt 'P 1'
_space_group_IT_number 1
loop_
_space_group_symop_operation_xyz
'x,y,z'
loop_
_atom_site_label
_atom_site_fract_x
_atom_site_fract_y
_atom_site_fract_z
Pt1 0.853 0.147 0.715
Pt2 0.500 0.500 0.000
Pt3 0.853 0.706 0.715
Pt4 0.294 0.147 0.715
Pt5 0.500 0.000 0.000
Pt6 0.000 0.500 0.000
Pt7 0.147 0.853 0.285
Pt8 0.147 0.294 0.285
Pt9 0.706 0.853 0.285
La1 0.333 0.667 0.663
La2 0.667 0.333 0.337
La3 0.000 0.000 0.000
Al1 0.000 0.000 0.500
P1 0.667 0.333 0.821
P2 0.333 0.667 0.179
```

Output
- Calculated formation energy: -836 meV per atom


Material: Ta3Nb12Ge5
Method: DFT, PBE
State: relaxed

The structure in CIF format:
```
data_Ta3Nb12Ge5
_chemical_formula_sum 'Ta12 Nb48 Ge20'
_cell_length_a 13.363
_cell_length_b 13.363
_cell_length_c 13.363
_cell_angle_alpha 109.47
_cell_angle_beta 109.47
_cell_angle_gamma 109.47
_space_group_name_H-M_alt 'P 1'
_space_group_IT_number 1
loop_
_space_group_symop_operation_xyz
'x,y,z'
loop_
_atom_site_label
_atom_site_fract_x
_atom_site_fract_y
_atom_site_fract_z
Nb1 0.773 0.437 0.354
Nb2 0.273 0.419 0.836
Nb3 0.917 0.836 0.563
Nb4 0.146 0.727 0.563
Nb5 0.854 0.581 0.917
Nb6 0.937 0.354 0.273
Nb7 0.836 0.917 0.063
Nb8 0.919 0.836 0.773
Nb9 0.583 0.646 0.419
Nb10 0.081 0.164 0.227
Nb11 0.727 0.146 0.063
Nb12 0.336 0.563 0.417
Nb13 0.273 0.854 0.937
Nb14 0.563 0.336 0.917
Nb15 0.581 0.727 0.664
Nb16 0.083 0.919 0.146
Nb17 0.336 0.773 0.419
Nb18 0.437 0.773 0.854
Nb19 0.919 0.083 0.646
Nb20 0.227 0.563 0.646
Nb21 0.583 0.937 0.664
Nb22 0.227 0.664 0.081
Nb23 0.563 0.227 0.146
Nb24 0.146 0.419 0.083
Nb25 0.836 0.919 0.273
Nb26 0.417 0.063 0.336
Nb27 0.646 0.063 0.227
Nb28 0.917 0.081 0.854
Nb29 0.164 0.083 0.937
Nb30 0.937 0.583 0.164
Nb31 0.354 0.937 0.773
Nb32 0.773 0.336 0.919
Nb33 0.063 0.417 0.836
Nb34 0.664 0.227 0.581
Nb35 0.417 0.354 0.581
Nb36 0.354 0.417 0.081
Nb37 0.854 0.273 0.437
Nb38 0.664 0.437 0.583
Nb39 0.437 0.664 0.083
Nb40 0.581 0.854 0.417
Nb41 0.646 0.583 0.919
Nb42 0.727 0.581 0.164
Nb43 0.081 0.917 0.354
Nb44 0.419 0.146 0.583
Nb45 0.083 0.164 0.437
Nb46 0.063 0.646 0.727
Nb47 0.419 0.273 0.336
Nb48 0.164 0.081 0.727
Ta1 0.375 0.750 0.625
Ta2 0.125 0.875 0.750
Ta3 0.750 0.375 0.125
Ta4 0.750 0.875 0.625
Ta5 0.250 0.625 0.875
Ta6 0.375 0.625 0.250
Ta7 0.625 0.250 0.375
Ta8 0.125 0.250 0.875
Ta9 0.875 0.750 0.125
Ta10 0.625 0.375 0.750
Ta11 0.875 0.125 0.250
Ta12 0.250 0.125 0.375
Ge1 0.625 0.875 0.250
Ge2 0.875 0.250 0.625
Ge3 0.000 0.000 0.500
Ge4 0.500 0.000 0.500
Ge5 0.875 0.625 0.750
Ge6 0.000 0.500 0.500
Ge7 0.500 0.000 0.000
Ge8 0.750 0.125 0.875
Ge9 0.375 0.250 0.125
Ge10 0.125 0.750 0.375
Ge11 0.250 0.875 0.125
Ge12 0.000 0.500 0.000
Ge13 0.625 0.750 0.875
Ge14 0.500 0.500 0.000
Ge15 0.125 0.375 0.250
Ge16 0.750 0.625 0.375
Ge17 0.000 0.000 0.000
Ge18 0.375 0.125 0.750
Ge19 0.250 0.375 0.625
Ge20 0.500 0.500 0.500
```

Output
- Calculated formation energy: 680 meV per atom


Material: NiSb2TePd
Method: DFT, PBE
State: relaxed

The structure in CIF format:
```
data_NiSb2TePd
_chemical_formula_sum 'Ni1 Sb2 Te1 Pd1'
_cell_length_a 5.126
_cell_length_b 5.126
_cell_length_c 5.378
_cell_angle_alpha 90.00
_cell_angle_beta 90.00
_cell_angle_gamma 90.00
_space_group_name_H-M_alt 'P 1'
_space_group_IT_number 1
loop_
_space_group_symop_operation_xyz
'x,y,z'
loop_
_atom_site_label
_atom_site_fract_x
_atom_site_fract_y
_atom_site_fract_z
Te1 0.000 0.000 0.500
Sb1 0.000 0.500 0.000
Sb2 0.500 0.000 0.000
Ni1 0.500 0.500 0.500
Pd1 0.000 0.000 0.000
```

Output
- Raw formation energy: 770.2 meV/atom
- Energy above the lowest structure with this stoichiometry: 375 meV/atom


D(E_F) across the listed records, respectively: 17.192, 1.414, 5.591, 5.855, 1.493, 13.870, 4.194, 6.563, 83.921, 5.194 states/eV per cell.
M_tot across the listed records, respectively: 0.801, 0.000, 0.446, 0.000, 0.513, 0.054, 1.821, 0.000, 0.000, 0.109 μB per atom.